[1]
LiP2Pd2 PBE-GGA optimized geometry; E_tot = -4.920 eV/atom; space-group type = P4/mbm; formation energy = -296 meV per atom
1.0
7.1468 0.0000 0.0000
0.0000 7.1468 0.0000
0.0000 0.0000 2.9859
Li P Pd
2 4 4
Cartesian
0.0000 0.0000 0.0000 Li
3.5734 3.5734 0.0000 Li
1.1036 2.4698 0.0000 P
2.4698 6.0432 0.0000 P
4.6770 1.1036 0.0000 P
6.0432 4.6770 0.0000 P
1.0468 4.6201 1.4929 Pd
2.5266 1.0468 1.4929 Pd
4.6201 6.1000 1.4929 Pd
6.1000 2.5266 1.4929 Pd


[2]
LiP2Pd7 PBE-GGA optimized geometry; E_tot = -5.358 eV/atom; space-group type = I4/mmm; formation energy = -449 meV per atom
1.0
-1.9807 1.9807 9.7315
1.9807 -1.9807 9.7315
1.9807 1.9807 -9.7315
Li P Pd
1 2 7
Cartesian
0.0000 0.0000 0.0000 Li
0.0000 0.0000 6.4283 P
0.0000 0.0000 13.0347 P
1.9807 0.0000 2.0097 Pd
1.9807 0.0000 4.8658 Pd
1.9807 0.0000 7.7218 Pd
0.0000 0.0000 9.7315 Pd
0.0000 1.9807 2.0097 Pd
0.0000 1.9807 4.8658 Pd
0.0000 1.9807 7.7218 Pd


[3]
Li2P2Pd PBE-GGA optimized geometry; E_tot = -4.514 eV/atom; space-group type = Immm; formation energy = -546 meV per atom
1.0
-1.9472 2.5196 3.9450
1.9472 -2.5196 3.9450
1.9472 2.5196 -3.9450
Li P Pd
2 2 1
Cartesian
0.0000 0.0000 1.6535 Li
0.0000 0.0000 6.2365 Li
1.9472 1.0874 0.0000 P
0.0000 1.4322 3.9450 P
0.0000 2.5196 0.0000 Pd


[4]
Li4PPd7 PBE-GGA optimized geometry; E_tot = -4.517 eV/atom; space-group type = P-1; formation energy = -400 meV per atom
1.0
4.7337 0.0000 0.0000
-0.9822 4.6968 0.0000
-1.1586 -2.0278 7.9148
Li P Pd
4 1 7
Cartesian
-0.0407 0.3071 2.1705 Li
0.0847 1.7012 6.8888 Li
2.5082 0.9678 1.0260 Li
2.6336 2.3619 5.7443 Li
1.7875 -1.0139 3.9574 P
-1.1302 2.5913 3.1439 Pd
-0.8871 -0.7198 7.6539 Pd
1.1887 3.1481 1.7186 Pd
1.2964 1.3345 3.9574 Pd
1.4042 -0.4791 6.1962 Pd
3.4800 3.3888 0.2609 Pd
3.7231 0.0777 4.7709 Pd


[5]
LiPPd5 PBE-GGA optimized geometry; E_tot = -4.904 eV/atom; space-group type = C2/c; formation energy = -148 meV per atom
1.0
5.1399 -3.8782 0.0000
5.1399 3.8782 0.0000
-3.7061 0.0000 6.0675
Li P Pd
2 2 10
Cartesian
2.3603 2.4697 4.5506 Li
4.2133 -2.4697 1.5169 Li
2.5699 1.9391 0.0000 P
0.7169 -1.9391 3.0337 P
-0.1033 1.5779 4.0594 Pd
4.2133 2.6992 1.5169 Pd
3.7753 0.0443 0.2557 Pd
1.9222 -0.0443 3.2894 Pd
1.7498 -1.5779 1.0257 Pd
4.8238 1.5779 5.0418 Pd
4.6514 0.0443 2.7781 Pd
2.7983 -0.0443 5.8118 Pd
2.3603 -2.6992 4.5506 Pd
6.6769 -1.5779 2.0081 Pd


[6]
Li5P2Pd12 PBE-GGA optimized geometry; E_tot = -4.723 eV/atom; space-group type = C2/m; formation energy = -370 meV per atom
1.0
5.9248 -3.7585 0.0000
5.9248 3.7585 0.0000
-0.7301 0.0000 6.3687
Li P Pd
5 2 12
Cartesian
0.0000 0.0000 0.0000 Li
2.8325 0.0000 0.5195 Li
3.3020 0.0000 3.4480 Li
7.8176 0.0000 2.9207 Li
8.2871 0.0000 5.8492 Li
5.5598 1.8812 3.1844 P
5.5598 -1.8812 3.1844 P
3.7844 2.3412 1.7413 Pd
0.8010 0.0000 2.3091 Pd
3.9403 1.5348 5.6822 Pd
7.3352 2.3412 4.6274 Pd
7.1793 1.5348 0.6865 Pd
5.2593 0.0000 1.7528 Pd
5.8603 0.0000 4.6159 Pd
3.9403 -1.5348 5.6822 Pd
3.7844 -2.3412 1.7413 Pd
7.1793 -1.5348 0.6865 Pd
10.3186 0.0000 4.0596 Pd
7.3352 -2.3412 4.6274 Pd


[7]
LiP2Pd4 PBE-GGA optimized geometry; E_tot = -5.326 eV/atom; space-group type = Cmmm; formation energy = -539 meV per atom
1.0
2.0704 -6.3572 0.0000
2.0704 6.3572 0.0000
0.0000 0.0000 4.1408
Li P Pd
1 2 4
Cartesian
0.0000 0.0000 0.0000 Li
2.0704 1.0799 2.0704 P
2.0704 -1.0799 2.0704 P
2.0704 4.1871 2.0704 Pd
2.0704 2.1270 0.0000 Pd
2.0704 -2.1270 0.0000 Pd
2.0704 -4.1871 2.0704 Pd


[8]
Li3P4Pd7 PBE-GGA optimized geometry; E_tot = -5.126 eV/atom; space-group type = C2/m; formation energy = -574 meV per atom
1.0
7.5172 -1.9290 0.0000
7.5172 1.9290 0.0000
-4.9370 0.0000 7.3930
Li P Pd
3 4 7
Cartesian
0.0000 0.0000 0.0000 Li
3.3765 0.0000 2.4412 Li
6.7210 0.0000 4.9518 Li
-2.4248 0.0000 6.0741 P
1.3849 0.0000 5.3955 P
8.7126 0.0000 1.9975 P
12.5223 0.0000 1.3189 P
-2.4685 0.0000 3.6965 Pd
0.4839 0.0000 3.1536 Pd
-0.2043 0.0000 7.0666 Pd
3.7394 0.0000 5.4508 Pd
6.3581 0.0000 1.9422 Pd
10.3019 0.0000 0.3264 Pd
9.6136 0.0000 4.2395 Pd


[9]
Li2PPd4 PBE-GGA optimized geometry; E_tot = -4.763 eV/atom; space-group type = C2/m; formation energy = -476 meV per atom
1.0
4.6025 -1.9872 0.0000
4.6025 1.9872 0.0000
-0.1263 0.0000 5.2793
Li P Pd
2 1 4
Cartesian
2.1510 0.0000 0.7916 Li
6.9278 0.0000 4.4877 Li
4.6025 0.0000 0.0000 P
0.4614 0.0000 4.0029 Pd
3.2101 0.0000 3.1823 Pd
5.8687 0.0000 2.0970 Pd
8.6174 0.0000 1.2764 Pd


[10]
Li3P2Pd3 PBE-GGA optimized geometry; E_tot = -4.623 eV/atom; space-group type = Pnma; formation energy = -605 meV per atom
1.0
7.1784 0.0000 0.0000
0.0000 14.2046 0.0000
0.0000 0.0000 4.9547
Li P Pd
12 8 12
Cartesian
0.1205 1.4966 0.4813 Li
0.1205 5.6057 0.4813 Li
1.0226 3.5511 3.1760 Li
2.5666 10.6534 0.6987 Li
3.4687 8.5989 2.9586 Li
3.4687 12.7079 2.9586 Li
3.7097 1.4966 1.9961 Li
3.7097 5.6057 1.9961 Li
4.6118 3.5511 4.2561 Li
6.1559 10.6534 1.7787 Li
7.0579 8.5989 4.4735 Li
7.0579 12.7079 4.4735 Li
0.9999 8.6843 2.0533 P
0.9999 12.6225 2.0533 P
2.5893 1.5820 4.5307 P
2.5893 5.5203 4.5307 P
4.5892 8.6843 0.4241 P
4.5892 12.6225 0.4241 P
6.1785 1.5820 2.9014 P
6.1785 5.5203 2.9014 P
1.1443 0.6112 2.9871 Pd
1.1443 6.4911 2.9871 Pd
1.3510 10.6534 3.1410 Pd
2.2382 3.5511 0.6637 Pd
2.4449 7.7135 0.5097 Pd
2.4449 13.5933 0.5097 Pd
4.7335 0.6112 4.4451 Pd
4.7335 6.4911 4.4451 Pd
4.9402 10.6534 4.2911 Pd
5.8274 3.5511 1.8137 Pd
6.0341 7.7135 1.9677 Pd
6.0341 13.5933 1.9677 Pd


[11]
LiPPd2 PBE-GGA optimized geometry; E_tot = -5.021 eV/atom; space-group type = Pnma; formation energy = -594 meV per atom
1.0
13.4179 0.0000 0.0000
0.0000 6.9803 0.0000
0.0000 0.0000 5.1186
Li P Pd
8 8 16
Cartesian
1.5423 1.7451 1.0332 Li
1.7666 5.2352 0.1330 Li
4.9424 1.7451 2.6923 Li
5.1666 5.2352 3.5925 Li
8.2513 1.7451 1.5261 Li
8.4755 5.2352 2.4263 Li
11.6513 1.7451 4.9856 Li
11.8755 5.2352 4.0854 Li
0.8640 5.2352 2.7600 P
2.5057 1.7451 3.6131 P
4.2032 5.2352 1.0538 P
5.8449 1.7451 0.2007 P
7.5729 5.2352 4.9179 P
9.2147 1.7451 4.0648 P
10.9121 5.2352 1.5055 P
12.5539 1.7451 2.3586 P
0.5211 0.3541 3.8353 Pd
0.5211 3.1360 3.8353 Pd
2.8363 3.8493 2.4535 Pd
2.8363 6.6211 2.4535 Pd
3.8727 0.3592 5.0128 Pd
3.8727 3.1310 5.0128 Pd
6.1879 3.8443 1.2760 Pd
6.1879 6.6262 1.2760 Pd
7.2300 0.3541 3.8426 Pd
7.2300 3.1360 3.8426 Pd
9.5452 3.8493 0.1058 Pd
9.5452 6.6211 0.1058 Pd
10.5816 0.3592 2.6651 Pd
10.5816 3.1310 2.6651 Pd
12.8968 3.8443 1.2833 Pd
12.8968 6.6262 1.2833 Pd


[12]
Li2PPd4 PBE-GGA optimized geometry; E_tot = -4.458 eV/atom; space-group type = I4/mmm; formation energy = -171 meV per atom
1.0
-2.2302 2.2302 6.3536
2.2302 -2.2302 6.3536
2.2302 2.2302 -6.3536
Li P Pd
2 1 4
Cartesian
0.0000 0.0000 1.5589 Li
0.0000 0.0000 11.1482 Li
0.0000 0.0000 6.3536 P
2.2302 0.0000 0.0000 Pd
0.0000 0.0000 4.1103 Pd
0.0000 2.2302 0.0000 Pd
0.0000 0.0000 8.5968 Pd


[13]
Li2PPd4 PBE-GGA optimized geometry; E_tot = -4.761 eV/atom; space-group type = I4/mmm; formation energy = -474 meV per atom
1.0
-2.8935 2.8935 2.9108
2.8935 -2.8935 2.9108
2.8935 2.8935 -2.9108
Li P Pd
2 1 4
Cartesian
2.8935 0.0000 0.0000 Li
0.0000 2.8935 0.0000 Li
0.0000 0.0000 0.0000 P
1.4467 1.4467 -1.4554 Pd
1.4467 -1.4467 1.4554 Pd
-1.4467 1.4467 1.4554 Pd
1.4467 1.4467 1.4554 Pd


[14]
Li4PPd PBE-GGA optimized geometry; E_tot = -3.572 eV/atom; space-group type = P2_1/m; formation energy = -529 meV per atom
1.0
5.0010 0.0000 0.0000
0.0000 4.2446 0.0000
-2.4760 0.0000 7.3485
Li P Pd
8 2 2
Cartesian
-0.0081 1.0611 0.6076 Li
-0.0352 1.0611 3.0396 Li
-0.0354 3.1834 4.3122 Li
0.0082 3.1834 6.7406 Li
2.5167 1.0611 0.6079 Li
2.5604 1.0611 3.0363 Li
2.5602 3.1834 4.3089 Li
2.5331 3.1834 6.7409 Li
-1.2338 1.0611 5.5700 P
3.7588 3.1834 1.7785 P
1.2573 3.1834 1.9146 Pd
1.2676 1.0611 5.4338 Pd


[15]
Li2P3Pd9 PBE-GGA optimized geometry; E_tot = -5.286 eV/atom; space-group type = C2/c; formation energy = -516 meV per atom
1.0
6.2838 -3.7777 0.0000
6.2838 3.7777 0.0000
-3.8859 0.0000 8.7244
Li P Pd
4 6 18
Cartesian
1.0074 0.6958 2.1855 Li
-0.9355 -0.6958 6.5477 Li
9.6173 0.6958 2.1767 Li
7.6743 -0.6958 6.5389 Li
3.1419 1.8889 0.0000 P
3.3313 1.9930 4.5001 P
3.4075 1.9930 8.5865 P
1.1990 -1.8889 4.3622 P
5.2742 -1.9930 0.1379 P
5.3504 -1.9930 4.2243 P
5.2289 3.1939 0.6053 Pd
5.3957 3.1939 3.7569 Pd
0.9629 0.7978 5.2027 Pd
3.7178 1.5338 2.2347 Pd
1.1469 0.5788 8.3607 Pd
2.9058 -0.7978 0.8405 Pd
3.3694 0.9282 6.5433 Pd
6.9068 1.5338 2.1275 Pd
3.0899 -0.5788 3.9985 Pd
5.5919 0.5788 4.7259 Pd
1.7749 -1.5338 6.5969 Pd
5.3123 -0.9282 2.1811 Pd
5.7759 0.7978 7.8839 Pd
7.5348 -0.5788 0.3637 Pd
4.9639 -1.5338 6.4897 Pd
7.7189 -0.7978 3.5217 Pd
3.2860 -3.1939 4.9675 Pd
3.4528 -3.1939 8.1191 Pd


[16]
LiP2Pd5 PBE-GGA optimized geometry; E_tot = -5.311 eV/atom; space-group type = Immm; formation energy = -474 meV per atom
1.0
-1.9359 3.4037 4.9367
1.9359 -3.4037 4.9367
1.9359 3.4037 -4.9367
Li P Pd
1 2 5
Cartesian
0.0000 0.0000 0.0000 Li
1.9359 0.0000 2.6084 P
0.0000 3.4037 2.3283 P
1.9359 1.9868 -1.4805 Pd
1.9359 1.9868 1.4805 Pd
0.0000 3.4037 0.0000 Pd
0.0000 1.4170 3.4562 Pd
0.0000 1.4170 6.4172 Pd


[17]
Li3PPd PBE-GGA optimized geometry; E_tot = -3.056 eV/atom; space-group type = Pm-3m; formation energy = 212 meV per atom
1.0
4.5382 0.0000 0.0000
0.0000 4.5382 0.0000
0.0000 0.0000 4.5382
Li P Pd
3 1 1
Cartesian
0.0000 0.0000 2.2691 Li
0.0000 2.2691 0.0000 Li
2.2691 0.0000 0.0000 Li
2.2691 2.2691 2.2691 P
0.0000 0.0000 0.0000 Pd


[18]
LiPPd2 PBE-GGA optimized geometry; E_tot = -4.915 eV/atom; space-group type = P4/mmm; formation energy = -488 meV per atom
1.0
4.1660 0.0000 0.0000
0.0000 4.1660 0.0000
0.0000 0.0000 3.1010
Li P Pd
1 1 2
Cartesian
0.0000 0.0000 0.0000 Li
2.0830 2.0830 0.0000 P
0.0000 2.0830 1.5505 Pd
2.0830 0.0000 1.5505 Pd


[19]
LiP2Pd3 PBE-GGA optimized geometry; E_tot = -5.229 eV/atom; space-group type = C2/m; formation energy = -510 meV per atom
1.0
8.1978 -1.9094 0.0000
8.1978 1.9094 0.0000
-2.8985 0.0000 9.0798
Li P Pd
3 6 9
Cartesian
0.0000 0.0000 0.0000 Li
0.3819 0.0000 6.2535 Li
13.1153 0.0000 2.8264 Li
2.8410 0.0000 1.1794 P
4.3925 0.0000 4.9771 P
6.7896 0.0000 2.0141 P
6.7075 0.0000 7.0657 P
9.1047 0.0000 4.1028 P
10.6562 0.0000 7.9005 P
-0.2869 0.0000 2.8204 Pd
2.5223 0.0000 3.5435 Pd
5.0666 0.0000 0.4599 Pd
3.8696 0.0000 7.3618 Pd
6.7486 0.0000 4.5399 Pd
9.6276 0.0000 1.7180 Pd
8.4306 0.0000 8.6199 Pd
10.9749 0.0000 5.5363 Pd
13.7840 0.0000 6.2594 Pd